Ba2UCu2O6: optimized geometry, PBE-GGA.

Raw total energy in eV per formula unit: -77.949
Total moment in μB per formula unit: 0.00

Structure (CIF):
```
data_Ba2UCu2O6
_space_group_name_H-M_alt 'R -3 m'
_space_group_IT_number 166
_space_group_name_Hall '-R 3 2"'
_cell_length_a 6.1461
_cell_length_b 6.1461
_cell_length_c 16.5122
_cell_angle_alpha 90.00
_cell_angle_beta 90.00
_cell_angle_gamma 120.00
loop_
_atom_site_label
_atom_site_fract_x
_atom_site_fract_y
_atom_site_fract_z
Ba1 0.0000 0.0000 0.2221
U1 0.0000 0.0000 0.0000
Cu1 0.0000 0.0000 0.4229
O1 0.0273 0.5137 0.7478
```